This record from the Alexandria database describes a relaxed structure of SrMgGaAs2. The functional is PBE.

Values from the calculation:
- formation energy (eV per atom) = -0.534
- total moment (μB/cell) = 0.0

Unit cell a=7.307 b=5.876 c=6.099 alpha=90.00 beta=111.17 gamma=90.00
Atoms (fractional coordinates):
Sr 0.000 0.232 0.250
Sr 0.000 0.768 0.750
Mg 0.500 0.479 0.250
Mg 0.500 0.521 0.750
Ga 0.500 0.000 0.000
Ga 0.500 0.000 0.500
As 0.225 0.271 0.857
As 0.225 0.729 0.357
As 0.775 0.271 0.643
As 0.775 0.729 0.143


This record from the Alexandria database describes a relaxed structure of Tl2ReTe. The functional is PBE.

Values from the calculation:
- energy relative to the lowest polymorph listed for this composition (eV/atom) = 0.555
- total moment (μB/cell) = 0.0

Unit cell a=2.974 b=5.673 c=5.751 alpha=90.00 beta=93.03 gamma=90.00
Atoms (fractional coordinates):
Tl 0.212 0.000 0.261
Tl 0.788 0.000 0.739
Re 0.500 0.500 0.500
Te 0.500 0.500 0.000


This record from the Alexandria database describes a relaxed structure of KNb2Ag. The functional is PBE.

Values from the calculation:
- energy relative to the lowest polymorph listed for this composition (eV/atom) = 0.262
- formation energy (eV per atom) = 1.485
- total moment (μB/cell) = 0.0

Unit cell a=4.860 b=4.860 c=4.860 alpha=60.00 beta=60.00 gamma=60.00
Atoms (fractional coordinates):
K 0.000 0.000 0.000
Nb 0.250 0.250 0.250
Nb 0.750 0.750 0.750
Ag 0.500 0.500 0.500


This record from the Alexandria database describes a relaxed structure of Rb2CaHoBr6. The functional is PBE.

Values from the calculation:
- DFT total energy (eV/f.u.) = -35.683
- total moment (μB/cell) = 1.2

Unit cell a=8.053 b=11.399 c=8.060 alpha=90.00 beta=90.00 gamma=90.00
Atoms (fractional coordinates):
Rb 0.250 0.002 0.250
Rb 0.250 0.498 0.250
Rb 0.750 0.502 0.750
Rb 0.750 0.998 0.750
Ca 0.250 0.250 0.749
Ca 0.750 0.750 0.251
Ho 0.250 0.750 0.751
Ho 0.750 0.250 0.249
Br 0.002 0.750 0.504
Br 0.003 0.750 0.998
Br 0.250 0.503 0.750
Br 0.250 0.997 0.750
Br 0.497 0.750 0.998
Br 0.498 0.750 0.504
Br 0.502 0.250 0.496
Br 0.503 0.250 0.002
Br 0.750 0.003 0.250
Br 0.750 0.497 0.250
Br 0.997 0.250 0.002
Br 0.998 0.250 0.496


This record from the Alexandria database describes a relaxed structure of LiYThTc. The functional is PBE.

Values from the calculation:
- formation energy (eV per atom) = -0.064
- total moment (μB/cell) = 0.0

Unit cell a=5.017 b=5.017 c=5.017 alpha=60.00 beta=60.00 gamma=60.00
Atoms (fractional coordinates):
Li 0.000 0.000 0.000
Y 0.250 0.250 0.250
Th 0.750 0.750 0.750
Tc 0.500 0.500 0.500